An optimized crystal structure of AgPt5. Source: Alexandria via LeMat-Bulk, functional PBE.

```
6
Lattice="2.4317 -4.2118 0.0000 2.4317 4.2118 0.0000 0.0000 0.0000 4.6899" Properties=species:S:1:pos:R:3 pbc="T T T"
Ag 0.0000 0.0000 2.3449
Pt 1.6713 0.0000 0.0000
Pt 1.5961 2.7644 0.0000
Pt 1.5961 -2.7644 0.0000
Pt 2.4317 -1.4039 2.3449
Pt 2.4317 1.4039 2.3449
```

Properties
- Formation energy from the elements: 70 meV/atom

=====

An optimized crystal structure of AgPt5. Source: Alexandria via LeMat-Bulk, functional PBE.

```
6
Lattice="0.8789 1.2254 5.0328 2.4445 4.4869 1.2229 -2.6755 3.9189 2.2553" Properties=species:S:1:pos:R:3 pbc="T T T"
Ag 0.0000 0.0000 0.0000
Pt 0.6818 4.2254 5.7056
Pt 0.4858 7.2234 6.3833
Pt 1.4633 5.8534 3.8038
Pt 0.2431 3.6137 3.1934
Pt -1.0925 5.5699 4.3192
```

Properties
- Formation energy from the elements: 198 meV/atom

=====

An optimized crystal structure of AgPt. Source: Alexandria via LeMat-Bulk, functional PBE.

```
12
Lattice="-5.7287 2.2320 1.8884 -3.9344 0.5752 5.0553 0.1014 8.1116 4.1864" Properties=species:S:1:pos:R:3 pbc="T T T"
Ag -9.5545 10.9120 11.1224
Ag -3.9795 3.1975 3.9276
Ag -8.0083 6.4000 7.8858
Ag -6.3463 9.9648 8.8091
Ag -0.7783 2.2813 1.6345
Ag -1.5598 4.5293 3.2534
Pt -2.3591 6.7793 4.8834
Pt -4.7843 5.5241 5.6008
Pt -8.7803 8.6679 9.5097
Pt -3.1382 9.0141 6.4940
Pt -7.1965 4.0809 6.2125
Pt -5.5639 7.7331 7.1983
```

Properties
- Formation energy from the elements: 37 meV/atom

=====

An optimized crystal structure of AgPt. Source: Alexandria via LeMat-Bulk, functional PBE.

```
12
Lattice="-2.9096 4.6099 3.3284 -0.1407 -1.8375 6.0966 4.2327 1.9789 3.3433" Properties=species:S:1:pos:R:3 pbc="T T T"
Ag -3.0452 2.7669 9.4209
Ag -0.2871 2.3750 8.7172
Ag 2.4326 1.9406 7.9441
Ag 0.8491 3.7884 6.4772
Ag 2.1147 0.9894 1.6857
Ag 3.1006 0.5684 5.5476
Pt 0.9570 -0.4070 3.8408
Pt -0.6262 1.4588 2.3906
Pt 1.9014 3.3541 10.3484
Pt 0.3288 0.9363 6.2389
Pt -1.2719 2.7546 4.8630
Pt 1.4338 2.3823 4.1358
```

Properties
- Formation energy from the elements: 31 meV/atom